1.
Ac2PbO: optimized geometry, PBE.

Lattice parameters (Å, degrees): 6.9652 6.8643 12.0860 90.00 115.29 90.00
Last column: nearest neighbours and their distance in Å.
Space group P2/c (No. 13)
Asymmetric unit:
Ac  0.0051  0.2412  0.0728 [4 per cell]  2 O 2.40-2.54
Ac  0.2896  0.2021  0.8268 [4 per cell]  2 O 2.47-2.53
Pb  0.4563  0.2996  0.3657 [4 per cell]  1 Pb 3.11, 1 Ac 3.43
O  0.0018  0.0970  0.6221 [4 per cell]  4 Ac 2.40-2.54

- uncorrected formation energy (eV/atom) = -1.536
- calculated total energy (eV/atom) = -5.757

---

2.
Pu3P2: optimized geometry, PBE.

Lattice parameters (Å, degrees): 6.9037 6.9037 19.6576 90.00 90.00 120.00
Last column: nearest neighbours and their distance in Å.
Space group R-3c (No. 167, hexagonal axes)
Asymmetric unit:
Pu  0.0000  0.3154  0.2500 [18 per cell]  4 P 2.78-2.83
P  0.0000  0.0000  0.1579 [12 per cell]  6 Pu 2.78-2.83

- ΔE_f (eV per atom) = -0.7081
- calculated total energy (eV/atom) = -11.471

---

3.
PrTmTlAg: optimized geometry, PBE.

Lattice parameters (Å, degrees): 3.6801 3.6801 7.8880 90.00 90.00 90.00
Last column: nearest neighbours and their distance in Å.
Space group P4mm (No. 99)
Asymmetric unit:
Pr  0.0000  0.0000  0.0000 [1 per cell]  4 Ag 3.36, 4 Tl 3.40, 4 Pr 3.68, 1 Tm 3.70
Tm  0.0000  0.0000  0.5304 [1 per cell]  4 Ag 3.05, 4 Tl 3.28
Tl  0.5000  0.5000  0.2782 [1 per cell]  4 Tm 3.28, 4 Pr 3.40, 1 Ag 3.57
Ag  0.5000  0.5000  0.7311 [1 per cell]  4 Tm 3.05, 4 Pr 3.36

- ΔE_f (eV per atom) = -0.3315
- calculated total energy (eV/atom) = -3.949

---

4.
Ti5Ga4Pd: optimized geometry, PBE.

Lattice parameters (Å, degrees): 3.3966 3.3966 13.8295 90.00 90.00 90.00
Last column: nearest neighbours and their distance in Å.
Space group P4/mmm (No. 123)
Asymmetric unit:
Ti  0.0000  0.0000  0.0000 [1 per cell]  2 Ti 2.75, 8 Ga 2.77
Ti  0.0000  0.0000  0.1991 [2 per cell]  2 Ti 2.75, 8 Ga 2.77-2.79
Ti  0.0000  0.0000  0.3982 [2 per cell]  4 Ga 2.75, 2 Ti 2.75-2.82, 4 Pd 2.78
Ga  0.5000  0.5000  0.0992 [2 per cell]  2 Ga 2.74-2.80, 8 Ti 2.77
Ga  0.5000  0.5000  0.3016 [2 per cell]  1 Pd 2.74, 8 Ti 2.75-2.79, 1 Ga 2.80
Pd  0.5000  0.5000  0.5000 [1 per cell]  2 Ga 2.74, 8 Ti 2.78

- ΔE_f (eV per atom) = -0.3911
- calculated total energy (eV/atom) = -6.069

---

5.
KCaN: optimized geometry, PBE.

Lattice parameters (Å, degrees): 7.6830 4.3670 6.9377 90.00 90.00 90.00
Last column: nearest neighbours and their distance in Å.
Space group Pnma (No. 62)
Asymmetric unit:
K  0.0470  0.2500  0.1526 [4 per cell]  3 N 2.81-2.91, 1 Ca 3.11, 2 K 3.13
Ca  0.1445  0.2500  0.5876 [4 per cell]  4 N 2.44-2.58
N  0.1726  0.7500  0.3916 [4 per cell]  4 Ca 2.44-2.58

- uncorrected formation energy (eV/atom) = -0.152
- calculated total energy (eV/atom) = -3.960

---

6.
Ca3La2Mg4: optimized geometry, PBE.

Lattice parameters (Å, degrees): 9.7544 5.6345 10.6758 90.00 90.00 90.00
Last column: nearest neighbours and their distance in Å.
Space group C2/m (No. 12)
Asymmetric unit:
Ca  0.0000  0.0000  0.0000 [2 per cell]  8 Mg 3.44-3.63
Ca  0.1664  0.5000  0.5770 [4 per cell]  4 Mg 3.37-3.38, 3 Ca 3.64-3.65
La  0.1669  0.5000  0.2046 [4 per cell]  7 Mg 3.32-3.56
Mg  0.0003  0.0000  0.3397 [4 per cell]  4 Ca 3.37-3.63, 1 Mg 3.42, 3 La 3.56
Mg  0.1665  0.5000  0.8940 [4 per cell]  4 La 3.32-3.42, 4 Ca 3.38-3.44

- ΔE_f (eV per atom) = -0.0496
- calculated total energy (eV/atom) = -2.521

---

7.
Hg2Ir2Br: optimized geometry, PBE.

Lattice parameters (Å, degrees): 7.7647 7.7647 3.2800 90.00 90.00 90.00
Last column: nearest neighbours and their distance in Å.
Space group P4/mbm (No. 127)
Asymmetric unit:
Hg  0.1770  0.3230  0.0000 [4 per cell]  6 Ir 2.77-2.87
Ir  0.1203  0.6203  0.5000 [4 per cell]  1 Ir 2.64, 6 Hg 2.77-2.87
Br  0.0000  0.0000  0.5000 [2 per cell]  4 Ir 3.09, 2 Br 3.28, 8 Hg 3.30

- uncorrected formation energy (eV/atom) = 0.691
- calculated total energy (eV/atom) = -3.308

---

8.
Zr2CdHg: optimized geometry, PBE.

Lattice parameters (Å, degrees): 5.4169 3.1263 5.5630 90.00 109.35 90.00
Last column: nearest neighbours and their distance in Å.
Space group P2/m (No. 10)
Asymmetric unit:
Zr  0.0000  0.0000  0.0000 [1 per cell]  6 Zr 3.13, 2 Hg 3.18, 4 Cd 3.19
Zr  0.5000  0.5000  0.0000 [1 per cell]  6 Zr 3.13, 2 Cd 3.18, 4 Hg 3.19
Cd  0.0000  0.5000  0.5000 [1 per cell]  2 Cd 3.13, 4 Hg 3.13, 6 Zr 3.18-3.19
Hg  0.5000  0.0000  0.5000 [1 per cell]  2 Hg 3.13, 4 Cd 3.13, 6 Zr 3.18-3.19

- ΔE_f (eV per atom) = -0.0345
- calculated total energy (eV/atom) = -4.613